[1]
# La2CuSe

La2CuSe after structural relaxation (GGA-PBEsol, Alexandria).

```
La2CuSe
1.0
4.029 0.000 0.000
2.014 3.489 0.000
2.014 1.163 7.449
Cu La Se
1 2 1
Cartesian
2.014 1.163 2.777 Cu
6.043 3.489 0.621 La
6.043 3.489 4.963 La
4.029 2.326 2.813 Se
```

Summary:
ΔE_f (raw): -0.579 eV per atom
total magnetic moment: 0.63 μB/f.u.
symmetry: R3m, No. 160
DOS(E_F): 3.805 states/eV per cell

=====

[2]
# NbRh3

NbRh3 after structural relaxation (GGA-PBEsol, Alexandria).

```
NbRh3
1.0
-3.364 -1.569 -1.020
-0.852 -0.584 3.708
-1.666 3.466 0.163
Rh Nb
3 1
Cartesian
-2.515 0.949 -0.428 Rh
-2.108 -1.077 1.344 Rh
-1.259 1.441 1.936 Rh
0.000 0.000 0.000 Nb
```

Summary:
total magnetic moment: 0.00 μB/f.u.
symmetry: Pm-3m, No. 221
DOS(E_F): 2.137 states/eV per cell
energy of formation from the pure elements: -518 meV/atom

=====

[3]
# H2BrCl

H2BrCl after structural relaxation (GGA-PBEsol, Alexandria).

```
H2BrCl
1.0
-2.924 -1.938 2.252
-2.857 -2.373 -1.893
0.112 -4.144 0.436
H Br Cl
2 1 1
Cartesian
-4.252 -6.341 0.597 H
-1.417 -2.114 0.199 H
-2.834 -4.228 0.398 Br
0.000 0.000 0.000 Cl
```

Summary:
total magnetic moment: 0.38 μB/f.u.
symmetry: Fm-3m, No. 225
DOS(E_F): 2.953 states/eV per cell

=====

[4]
# K2AgHg

K2AgHg after structural relaxation (GGA-PBEsol, Alexandria).

```
K2AgHg
1.0
5.099 0.000 0.000
0.000 5.099 0.000
-2.550 -2.550 4.550
Hg K Ag
1 2 1
Cartesian
0.000 2.550 2.275 Hg
2.550 0.000 2.275 K
0.000 0.000 0.000 K
2.550 2.550 0.000 Ag
```

Summary:
total magnetic moment: 0.00 μB/f.u.
symmetry: I-4m2, No. 119
DOS(E_F): 1.776 states/eV per cell
energy of formation from the pure elements: 39 meV/atom

=====

[5]
# ScCuRh2

ScCuRh2 after structural relaxation (GGA-PBEsol, Alexandria).

```
ScCuRh2
1.0
2.908 0.000 0.000
0.000 4.396 0.007
0.000 -1.437 4.451
Sc Cu Rh
1 1 2
Cartesian
1.454 2.198 0.004 Sc
0.000 1.479 2.229 Cu
1.454 -0.719 2.225 Rh
0.000 0.000 0.000 Rh
```

Summary:
total magnetic moment: 0.00 μB/f.u.
symmetry: P2/m, No. 10
DOS(E_F): 2.541 states/eV per cell
energy of formation from the pure elements: -396 meV/atom

=====

[6]
# ZrTe2Br

ZrTe2Br after structural relaxation (GGA-PBEsol, Alexandria).

```
ZrTe2Br
1.0
-1.383 0.543 -3.245
-3.515 0.490 -0.383
-0.404 10.005 -0.118
Te Br Zr
2 1 1
Cartesian
-0.427 9.825 -0.138 Te
-4.038 7.796 -2.864 Te
-1.244 3.401 -0.864 Br
-2.648 5.540 -1.871 Zr
```

Summary:
energy relative to the lowest polymorph listed for this composition: 105 meV per atom
ΔE_f (raw): -0.629 eV per atom
total magnetic moment: 0.00 μB/f.u.
symmetry: R3m, No. 160
DOS(E_F): 2.435 states/eV per cell

=====

[7]
# Y3FeCu

Y3FeCu after structural relaxation (GGA-PBEsol, Alexandria).

```
Y3FeCu
1.0
5.161 0.000 0.000
0.000 5.161 0.000
0.000 0.000 5.161
Y Fe Cu
3 1 1
Cartesian
0.000 2.581 0.000 Y
2.581 0.000 0.000 Y
0.000 0.000 2.581 Y
2.581 2.581 2.581 Fe
0.000 0.000 0.000 Cu
```

Summary:
total magnetic moment: 1.23 μB/f.u.
symmetry: Pm-3m, No. 221
DOS(E_F): 8.998 states/eV per cell
energy of formation from the pure elements: 653 meV/atom

=====

[8]
# CrInSN2

CrInSN2 after structural relaxation (GGA-PBEsol, Alexandria).

```
CrInSN2
1.0
4.070 0.000 0.000
0.000 4.070 0.000
0.000 0.000 5.430
S N In Cr
1 2 1 1
Cartesian
0.000 0.000 2.715 S
0.000 2.035 0.000 N
2.035 0.000 0.000 N
0.000 0.000 0.000 In
2.035 2.035 2.715 Cr
```

Summary:
ΔE_f (raw): 1.578 eV per atom
total magnetic moment: 7.13 μB/f.u.
symmetry: P4/mmm, No. 123
DOS(E_F): 5.064 states/eV per cell

=====

no.,total energy (eV per atom)
1,-5.30
2,-9.33
3,-1.47
4,-1.50
5,-7.20
6,-5.13
7,-6.10
8,-5.35